Computed, not measured: a geometry-optimized La2PuAg6 structure at the PBE level of DFT.

Values from the calculation:
- Space-group type: P6/mmm, No. 191
- Formation energy: -0.183 eV per atom
- Spin magnetization: 6.377 μB/f.u.

Unit cell a=8.568 b=8.568 c=3.340 alpha=90.00 beta=90.00 gamma=120.00
Fractional positions:
1 La 0.333 0.667 0.000
2 La 0.667 0.333 0.000
3 Pu 0.000 0.000 0.000
4 Ag 0.000 0.331 0.500
5 Ag 0.000 0.669 0.500
6 Ag 0.331 0.000 0.500
7 Ag 0.331 0.331 0.500
8 Ag 0.669 0.000 0.500
9 Ag 0.669 0.669 0.500